#P
4
Lattice="4.415 0.000 0.000 0.000 4.415 0.000 0.000 0.000 3.046" Properties=species:S:1:pos:R:3 comment="GGA-PBE MgOs2Cl, optimized geometry" rho_g_cm3=12.31 pbc="T T T"
Mg 0.000 0.000 0.000
Os 0.000 2.207 1.523
Os 2.207 0.000 1.523
Cl 2.207 2.207 0.000

***

#Q
8
Lattice="2.901 0.000 0.000 0.000 4.750 0.000 0.000 0.000 9.347" Properties=species:S:1:pos:R:3 comment="GGA-PBE MgOs2Cl, optimized geometry" rho_g_cm3=11.35 pbc="T T T"
Mg 0.000 0.000 0.000
Mg 1.451 2.375 4.673
Os 0.000 0.000 4.831
Os 0.000 2.375 7.399
Os 1.451 0.000 2.725
Os 1.451 2.375 0.158
Cl 0.000 2.375 2.197
Cl 1.451 0.000 6.871

***

#R
8
Lattice="2.955 0.000 0.000 0.000 4.947 0.000 0.000 0.000 9.143" Properties=species:S:1:pos:R:3 comment="GGA-PBE MgOs2Cl, optimized geometry" rho_g_cm3=10.94 pbc="T T T"
Mg 0.000 0.000 0.000
Mg 1.477 2.474 0.000
Os 0.000 0.000 4.764
Os 0.000 2.474 6.836
Os 1.477 0.000 6.836
Os 1.477 2.474 4.764
Cl 0.000 2.474 1.815
Cl 1.477 0.000 1.815

***

#S
16
Lattice="6.223 0.000 0.000 0.000 6.223 0.000 0.000 0.000 6.223" Properties=species:S:1:pos:R:3 comment="GGA-PBE MgOs2Cl, optimized geometry" rho_g_cm3=12.13 pbc="T T T"
Mg 0.000 0.000 0.000
Mg 0.000 3.112 3.112
Mg 3.112 0.000 3.112
Mg 3.112 3.112 0.000
Os 1.556 1.556 1.556
Os 1.556 1.556 4.667
Os 1.556 4.667 1.556
Os 1.556 4.667 4.667
Os 4.667 1.556 1.556
Os 4.667 1.556 4.667
Os 4.667 4.667 1.556
Os 4.667 4.667 4.667
Cl 0.000 0.000 3.112
Cl 0.000 3.112 0.000
Cl 3.112 0.000 0.000
Cl 3.112 3.112 3.112

***

Short version: #R is the most stable of them.

***

#P
6
Lattice="2.821 0.000 0.000 0.000 2.821 0.000 0.000 0.000 14.845" Properties=species:S:1:pos:R:3 comment="GGA-PBE MgOsCl, optimized geometry" rho_g_cm3=7.03 pbc="T T T"
Mg 0.000 0.000 0.000
Mg 1.410 1.410 7.422
Os 0.000 0.000 5.313
Os 1.410 1.410 12.736
Cl 0.000 0.000 8.947
Cl 1.410 1.410 1.525

***

#Q
3
Lattice="2.940 0.000 0.000 -1.470 2.546 0.000 0.000 0.000 7.692" Properties=species:S:1:pos:R:3 comment="GGA-PBE MgOsCl, optimized geometry" rho_g_cm3=7.21 pbc="T T T"
Mg 0.000 0.000 0.000
Os 0.000 1.698 2.199
Cl 1.470 0.849 6.033

***

#R
12
Lattice="3.063 0.000 0.000 0.000 4.841 0.000 0.000 0.000 15.650" Properties=species:S:1:pos:R:3 comment="GGA-PBE MgOsCl, optimized geometry" rho_g_cm3=7.16 pbc="T T T"
Mg 0.000 0.000 0.000
Mg 0.000 2.420 7.825
Mg 1.531 0.000 7.825
Mg 1.531 2.420 0.000
Os 0.000 0.000 10.016
Os 0.000 2.420 2.191
Os 1.531 0.000 2.191
Os 1.531 2.420 10.016
Cl 0.000 0.000 6.062
Cl 0.000 2.420 13.887
Cl 1.531 0.000 13.887
Cl 1.531 2.420 6.062

***

Short version: #Q is the most stable of them.

***

#P
3
Lattice="4.366 0.000 0.000 -2.183 3.781 0.000 0.000 0.000 2.942" Properties=species:S:1:pos:R:3 comment="GGA-PBE MgOsCl, optimized geometry" rho_g_cm3=8.55 pbc="T T T"
Mg 0.000 0.000 0.000
Os 2.183 1.260 1.471
Cl 0.000 2.520 1.471

***

#Q
12
Lattice="6.250 0.000 0.000 0.000 6.250 0.000 0.000 0.000 6.250" Properties=species:S:1:pos:R:3 comment="GGA-PBE MgOsCl, optimized geometry" rho_g_cm3=6.80 pbc="T T T"
Mg 0.000 0.000 0.000
Mg 0.000 3.125 3.125
Mg 3.125 0.000 3.125
Mg 3.125 3.125 0.000
Os 1.563 1.563 1.563
Os 1.563 4.688 4.688
Os 4.688 1.563 4.688
Os 4.688 4.688 1.563
Cl 0.000 0.000 3.125
Cl 0.000 3.125 0.000
Cl 3.125 0.000 0.000
Cl 3.125 3.125 3.125

***

Short version: #P is the most stable of them.

***

#P
5
Lattice="4.651 0.000 0.000 0.000 4.651 0.000 0.000 0.000 4.651" Properties=species:S:1:pos:R:3 comment="GGA-PBE MgOs3Cl, optimized geometry" rho_g_cm3=10.41 pbc="T T T"
Mg 0.000 0.000 0.000
Os 0.000 0.000 2.325
Os 0.000 2.325 0.000
Os 2.325 0.000 0.000
Cl 2.325 2.325 2.325

***

#Q
5
Lattice="4.376 0.000 0.000 0.000 4.376 0.000 0.000 0.000 4.376" Properties=species:S:1:pos:R:3 comment="GGA-PBE MgOs3Cl, optimized geometry" rho_g_cm3=12.49 pbc="T T T"
Mg 0.000 0.000 0.000
Os 0.000 2.188 2.188
Os 2.188 0.000 2.188
Os 2.188 2.188 0.000
Cl 2.188 2.188 2.188

***

Short version: #Q is the most stable of them.

***

#P
5
Lattice="4.956 0.000 0.000 0.000 4.956 0.000 0.000 0.000 4.513" Properties=species:S:1:pos:R:3 comment="GGA-PBE MgPOsCl2, optimized geometry" rho_g_cm3=4.74 pbc="T T T"
Mg 0.000 0.000 0.000
P 2.478 2.478 0.000
Os 2.478 2.478 2.256
Cl 0.000 2.478 2.256
Cl 2.478 0.000 2.256

***

#Q
5
Lattice="4.458 0.000 0.000 0.000 4.458 0.000 0.000 0.000 5.880" Properties=species:S:1:pos:R:3 comment="GGA-PBE MgPOsCl2, optimized geometry" rho_g_cm3=4.50 pbc="T T T"
Mg 0.000 0.000 0.000
P 0.000 0.000 2.940
Os 2.229 2.229 2.940
Cl 0.000 2.229 0.000
Cl 2.229 0.000 0.000

***

Short version: #P is the most stable of them.

***

#P
5
Lattice="4.838 0.000 0.000 0.000 4.838 0.000 0.000 0.000 4.537" Properties=species:S:1:pos:R:3 comment="GGA-PBE MgOsS2Cl, optimized geometry" rho_g_cm3=4.91 pbc="T T T"
Mg 0.000 0.000 0.000
Os 2.419 2.419 2.268
S 0.000 2.419 0.000
S 2.419 0.000 0.000
Cl 0.000 0.000 2.268

***

#Q
5
Lattice="4.601 0.000 0.000 0.000 4.601 0.000 0.000 0.000 4.969" Properties=species:S:1:pos:R:3 comment="GGA-PBE MgOsS2Cl, optimized geometry" rho_g_cm3=4.96 pbc="T T T"
Mg 0.000 0.000 0.000
Os 2.301 2.301 2.485
S 0.000 2.301 2.485
S 2.301 0.000 2.485
Cl 2.301 2.301 0.000

***

Short version: #Q is the most stable of them.

***

#P
5
Lattice="4.846 0.000 0.000 0.000 4.846 0.000 0.000 0.000 4.846" Properties=species:S:1:pos:R:3 comment="GGA-PBE MgP3Cl, optimized geometry" rho_g_cm3=2.23 pbc="T T T"
Mg 0.000 0.000 0.000
P 0.000 0.000 2.423
P 0.000 2.423 0.000
P 2.423 0.000 0.000
Cl 2.423 2.423 2.423

***

#Q
5
Lattice="4.632 0.000 0.000 0.000 4.632 0.000 0.000 0.000 4.632" Properties=species:S:1:pos:R:3 comment="GGA-PBE MgP3Cl, optimized geometry" rho_g_cm3=2.55 pbc="T T T"
Mg 0.000 0.000 0.000
P 0.000 2.316 2.316
P 2.316 0.000 2.316
P 2.316 2.316 0.000
Cl 2.316 2.316 2.316

***

Short version: #Q is the most stable of them.

***

#P
4
Lattice="3.328 0.000 0.000 0.000 3.592 0.000 0.000 0.000 6.829" Properties=species:S:1:pos:R:3 comment="GGA-PBE Mg2PCl, optimized geometry" rho_g_cm3=2.34 pbc="T T T"
Mg 0.000 0.000 1.348
Mg 0.000 0.000 5.481
P 1.664 1.796 0.000
Cl 1.664 0.000 3.415

***

#Q
8
Lattice="7.239 0.000 0.000 0.000 7.084 0.000 -2.069 0.000 3.842" Properties=species:S:1:pos:R:3 comment="GGA-PBE Mg2PCl, optimized geometry" rho_g_cm3=1.94 pbc="T T T"
Mg 1.810 1.771 0.000
Mg 1.810 5.313 0.000
Mg 5.430 1.771 0.000
Mg 5.430 5.313 0.000
P 0.000 0.000 0.000
P 3.620 3.542 0.000
Cl 0.000 3.542 0.000
Cl 3.620 0.000 0.000

***

Short version: #P is the most stable of them.

***

#P
16
Lattice="5.781 0.000 0.000 0.000 5.781 0.000 0.000 0.000 12.248" Properties=species:S:1:pos:R:3 comment="GGA-PBE Mg2PCl, optimized geometry" rho_g_cm3=1.87 pbc="T T T"
Mg 1.240 1.445 1.531
Mg 1.445 4.131 4.593
Mg 1.445 4.541 10.717
Mg 1.651 1.445 7.655
Mg 4.131 4.336 7.655
Mg 4.336 1.240 10.717
Mg 4.336 1.651 4.593
Mg 4.541 4.336 1.531
P 0.000 0.000 0.000
P 0.000 2.891 3.062
P 2.891 0.000 9.186
P 2.891 2.891 6.124
Cl 0.000 0.000 6.124
Cl 0.000 2.891 9.186
Cl 2.891 0.000 3.062
Cl 2.891 2.891 0.000

***

#Q
8
Lattice="3.938 0.000 0.000 0.000 6.224 0.000 0.000 0.000 7.179" Properties=species:S:1:pos:R:3 comment="GGA-PBE Mg2PCl, optimized geometry" rho_g_cm3=2.17 pbc="T T T"
Mg 0.000 0.000 1.503
Mg 0.000 0.000 5.676
Mg 1.969 3.112 1.503
Mg 1.969 3.112 5.676
P 0.000 3.112 0.000
P 1.969 0.000 0.000
Cl 0.000 3.112 3.589
Cl 1.969 0.000 3.589

***

Short version: #P is the most stable of them.

***

#P
8
Lattice="6.740 0.000 0.000 0.000 3.899 0.000 -2.231 0.000 6.266" Properties=species:S:1:pos:R:3 comment="GGA-PBE Mg2PCl, optimized geometry" rho_g_cm3=2.32 pbc="T T T"
Mg 1.121 0.000 1.211
Mg 0.017 1.949 5.055
Mg 4.491 1.949 1.211
Mg 3.387 0.000 5.055
P 0.000 1.949 0.000
P 3.370 0.000 0.000
Cl -1.116 0.000 3.133
Cl 2.254 1.949 3.133

***

#Q
8
Lattice="13.536 0.000 0.000 0.000 3.520 0.000 -0.550 0.000 3.834" Properties=species:S:1:pos:R:3 comment="GGA-PBE Mg2PCl, optimized geometry" rho_g_cm3=2.09 pbc="T T T"
Mg 0.000 0.000 0.000
Mg 2.169 0.000 2.427
Mg 6.768 1.760 0.000
Mg 8.937 1.760 2.427
P 1.772 1.760 0.451
P 8.541 0.000 0.451
Cl 4.700 0.000 2.770
Cl 11.468 1.760 2.770

***

Short version: #P is the most stable of them.

***

#P
16
Lattice="6.916 0.000 0.000 0.000 6.916 0.000 0.000 0.000 6.916" Properties=species:S:1:pos:R:3 comment="GGA-PBE MgPCl2, optimized geometry" rho_g_cm3=2.53 pbc="T T T"
Mg 0.000 0.000 0.000
Mg 0.000 3.458 3.458
Mg 3.458 0.000 3.458
Mg 3.458 3.458 0.000
P 1.729 1.729 1.729
P 1.729 5.187 5.187
P 5.187 1.729 5.187
P 5.187 5.187 1.729
Cl 0.000 0.000 3.458
Cl 0.000 3.458 0.000
Cl 1.729 1.729 5.187
Cl 1.729 5.187 1.729
Cl 3.458 0.000 0.000
Cl 3.458 3.458 3.458
Cl 5.187 1.729 1.729
Cl 5.187 5.187 5.187

***

#Q
16
Lattice="7.459 0.000 0.000 0.000 7.459 0.000 0.000 0.000 10.055" Properties=species:S:1:pos:R:3 comment="GGA-PBE MgPCl2, optimized geometry" rho_g_cm3=1.50 pbc="T T T"
Mg 0.000 0.000 0.000
Mg 0.000 3.730 2.514
Mg 3.730 0.000 7.541
Mg 3.730 3.730 5.027
P 0.000 0.000 5.027
P 0.000 3.730 7.541
P 3.730 0.000 2.514
P 3.730 3.730 0.000
Cl 0.756 1.865 1.257
Cl 1.865 4.486 3.771
Cl 1.865 6.703 8.798
Cl 2.973 1.865 6.284
Cl 4.486 5.594 6.284
Cl 5.594 0.756 8.798
Cl 5.594 2.973 3.771
Cl 6.703 5.594 1.257

***

Short version: #Q is the most stable of them.

***

#P
8
Lattice="3.530 0.000 0.000 0.000 5.545 0.000 0.000 0.000 11.298" Properties=species:S:1:pos:R:3 comment="GGA-PBE MgPCl2, optimized geometry" rho_g_cm3=1.89 pbc="T T T"
Mg 0.000 0.000 0.000
Mg 1.765 2.773 0.000
P 0.000 0.000 5.649
P 1.765 2.773 5.649
Cl 0.000 2.773 1.612
Cl 0.000 2.773 9.686
Cl 1.765 0.000 1.612
Cl 1.765 0.000 9.686

***

#Q
4
Lattice="3.258 0.000 0.000 0.000 4.153 0.000 0.000 0.000 5.699" Properties=species:S:1:pos:R:3 comment="GGA-PBE MgPCl2, optimized geometry" rho_g_cm3=2.72 pbc="T T T"
Mg 0.000 0.000 0.000
P 1.629 0.000 2.850
Cl 0.000 2.076 2.850
Cl 1.629 2.076 0.000

***

#R
12
Lattice="3.404 0.000 0.000 -1.702 2.948 0.000 0.000 0.000 33.913" Properties=species:S:1:pos:R:3 comment="GGA-PBE MgPCl2, optimized geometry" rho_g_cm3=1.85 pbc="T T T"
Mg 0.000 0.000 0.000
Mg 0.000 1.965 22.608
Mg 1.702 0.983 11.304
P 0.000 0.000 16.956
P 0.000 1.965 5.652
P 1.702 0.983 28.260
Cl 0.000 0.000 12.774
Cl 0.000 0.000 21.138
Cl 0.000 1.965 1.470
Cl 0.000 1.965 9.834
Cl 1.702 0.983 24.079
Cl 1.702 0.983 32.442

***

Short version: #R is the most stable of them.